Record 1
The following is a PBE-GGA calculation of a relaxed structure of Mg2Br, from Alexandria.

Output
* total DFT energy (no corrections): -6.3 eV/f.u.
* formation energy without anion corrections: -0.47 eV/atom
* volume: 80.4 Å³/cell
* excess energy over the best structure of this formula in the dataset: 42 meV/atom

Cell: 3.637 3.637 6.078 Å, 90.00 90.00 90.00°
Space group P-4m2 (No. 115)
One atom of each set of equivalent atoms:
Mg1 0.000 0.500 0.143 [2 per cell]
Br1 0.000 0.000 0.500 [1 per cell]

***

Record 2
The following is a PBE-GGA calculation of a relaxed structure of TeOF, from Alexandria.

Output
* total DFT energy (no corrections): -13.2 eV/f.u.
* formation energy without anion corrections: -1.08 eV/atom
* volume: 202.6 Å³/cell
* excess energy over the best structure of this formula in the dataset: 123 meV/atom

Cell: 6.508 4.045 7.696 Å, 90.00 90.00 90.00°
Space group Pnma (No. 62)
One atom of each set of equivalent atoms:
Te1 0.216 0.250 0.011 [4 per cell]
O1 0.101 0.750 0.986 [4 per cell]
F1 0.023 0.250 0.628 [4 per cell]

***

Record 3
The following is a PBE-GGA calculation of a relaxed structure of Pm2InCu12Ni3, from Alexandria.

Output
* total DFT energy (no corrections): -77.2 eV/f.u.
* volume: 793.9 Å³/cell

Cell: 8.5867 8.5867 12.4326 Å, 90.00 90.00 120.00°
Space group R-3m (No. 166, hexagonal axes)
One atom of each set of equivalent atoms:
Pm1 0.0000 0.0000 0.2422 [6 per cell]
In1 0.0000 0.0000 0.5000 [3 per cell]
Cu1 0.0041 0.5020 0.2066 [18 per cell]
Cu2 0.0480 0.5240 0.6021 [18 per cell]
Ni1 0.0000 0.5000 0.0000 [9 per cell]

***

Record 4
The following is a PBE-GGA calculation of a relaxed structure of NaCrHg2Pd, from Alexandria.

Output
* total DFT energy (no corrections): -14.2 eV/f.u.
* volume: 142.1 Å³/cell

Cell: 5.246 5.246 5.163 Å, 90.00 90.00 90.00°
Space group P4/mmm (No. 123)
One atom of each set of equivalent atoms:
Na1 0.000 0.000 0.000 [1 per cell]
Cr1 0.500 0.500 0.000 [1 per cell]
Hg1 0.000 0.500 0.500 [2 per cell]
Pd1 0.000 0.000 0.500 [1 per cell]

***

Record 5
The following is a PBE-GGA calculation of a relaxed structure of MnSiTc2H, from Alexandria.

Output
* total DFT energy (no corrections): -39.3 eV/f.u.
* volume: 55.7 Å³/cell

Cell: 4.136 4.136 3.255 Å, 90.00 90.00 90.00°
Space group P4/mmm (No. 123)
One atom of each set of equivalent atoms:
Mn1 0.000 0.000 0.000 [1 per cell]
Si1 0.500 0.500 0.000 [1 per cell]
Tc1 0.000 0.500 0.500 [2 per cell]
H1 0.000 0.000 0.500 [1 per cell]

***

Record 6
The following is a PBE-GGA calculation of a relaxed structure of La8Zn2Si, from Alexandria.

Output
* total DFT energy (no corrections): -49.7 eV/f.u.
* formation energy without anion corrections: -0.21 eV/atom
* volume: 671.6 Å³/cell

Cell: 18.914 5.191 7.348 Å, 90.00 111.42 90.00°
Space group C2/m (No. 12)
One atom of each set of equivalent atoms:
La1 0.016 0.000 0.278 [4 per cell]
La2 0.089 0.500 0.955 [4 per cell]
La3 0.166 0.500 0.483 [4 per cell]
La4 0.200 0.000 0.818 [4 per cell]
Zn1 0.171 0.000 0.207 [4 per cell]
Si1 0.000 0.500 0.500 [2 per cell]

***

Which formula does entry 5 have? MnSiTc2H

***

volume of number 1 (Mg2Br)? 80.4 Å³/cell